[1]
{
  "formula": "Bi2Pd8Pt",
  "functional": "GGA-PBE",
  "state": "optimized geometry",
  "polymorph_energy_mev_per_atom": 14,
  "space_group": "C2/m",
  "crystal_system": "monoclinic",
  "e_tot_ev_per_atom": -5.19,
  "e_form_mev_per_atom": -161,
  "lattice_angstrom": [[-1.7822, 1.1694, 3.6065], [5.6915, -0.9989, 3.1365], [0.6520, 6.3181, -4.1597]],
  "species": ["Pd", "Pd", "Pd", "Pd", "Pd", "Pd", "Pd", "Pd", "Pt", "Bi", "Bi"],
  "frac_coords": [[0.8603, 0.8165, 0.7206], [0.5868, 0.4426, 0.1736], [0.6712, 0.9082, 0.3424], [0.4132, 0.5574, 0.8264], [0.0359, 0.7359, 0.0719], [0.9641, 0.2641, 0.9281], [0.1397, 0.1835, 0.2794], [0.3288, 0.0918, 0.6576], [0.5000, 0.0000, 0.0000], [0.7877, 0.3362, 0.5754], [0.2123, 0.6638, 0.4246]]
}

=====

[2]
{
  "formula": "LiIn2Tc",
  "functional": "GGA-PBE",
  "state": "optimized geometry",
  "polymorph_energy_mev_per_atom": 82,
  "space_group": "Cm",
  "crystal_system": "monoclinic",
  "e_tot_ev_per_atom": -4.35,
  "e_form_mev_per_atom": 92,
  "lattice_angstrom": [[5.3958, 0.0044, -0.0037], [4.4314, 3.0786, -0.0037], [1.3681, 0.4292, 4.4002]],
  "species": ["In", "In", "Li", "Tc"],
  "frac_coords": [[0.0119, 0.0119, 0.9284], [0.2495, 0.2495, 0.2997], [0.4906, 0.4906, 0.4692], [0.7481, 0.7481, 0.8027]]
}

=====

[3]
{
  "formula": "ZnCdRh2",
  "functional": "GGA-PBE",
  "state": "optimized geometry",
  "space_group": "R-3m",
  "crystal_system": "trigonal",
  "e_tot_ev_per_atom": -4.34,
  "e_form_mev_per_atom": -115,
  "lattice_angstrom": [[-1.4259, -8.4315, 1.7937], [-0.5002, -8.6724, -0.9381], [1.4114, -8.5343, 1.2309]],
  "species": ["Rh", "Rh", "Cd", "Zn"],
  "frac_coords": [[0.9944, 0.9944, 0.9944], [0.5056, 0.5056, 0.5056], [0.7500, 0.7500, 0.7500], [0.2500, 0.2500, 0.2500]]
}